## TaCdPt2 (PBE)

Data for TaCdPt2 after structural relaxation.

Computed properties:
Space-group type: R-3m
E (eV per formula unit): -26.2
V (Å³/f.u.): 68.9

Cell lengths 9.6545, 9.6545, 9.6545 Å; angles 17.24, 17.24, 17.24 degrees
Last column: nearest neighbours and their distance in Å.
Element x y z (fractional)
Cd  0.7500  0.7500  0.7500  6 Cd 2.89, 6 Pt 3.01
Pt  0.9954  0.9954  0.9954  3 Ta 2.80, 6 Pt 2.89, 3 Cd 3.01
Pt  0.5046  0.5046  0.5046  3 Ta 2.80, 6 Pt 2.89, 3 Cd 3.01
Ta  0.2500  0.2500  0.2500  6 Pt 2.80, 6 Ta 2.89

## TaCd2Pt (PBE)

Data for TaCd2Pt after structural relaxation.

Computed properties:
Distance to the lowest polymorph of the same formula (meV/atom): 485
Space-group type: Fm-3m
E (eV per formula unit): -18.5
V (Å³/f.u.): 73.1

Cell lengths 4.6934, 4.6934, 4.6934 Å; angles 60.00, 60.00, 60.00 degrees
Last column: nearest neighbours and their distance in Å.
Element x y z (fractional)
Cd  0.2500  0.2500  0.2500  4 Ta 2.87, 4 Pt 2.87
Cd  0.7500  0.7500  0.7500  4 Ta 2.87, 4 Pt 2.87
Pt  0.5000  0.5000  0.5000  8 Cd 2.87
Ta  0.0000  0.0000  0.0000  8 Cd 2.87

## TaCdPt2 (PBE)

Data for TaCdPt2 after structural relaxation.

Computed properties:
Space-group type: C2/m
E (eV per formula unit): -25.8
V (Å³/f.u.): 69.1

Cell lengths 4.7966, 4.7966, 5.3597 Å; angles 81.94, 81.94, 34.53 degrees
Last column: nearest neighbours and their distance in Å.
Element x y z (fractional)
Cd  0.2500  0.2500  0.2500  6 Pt 2.85-2.92, 2 Cd 2.85, 4 Ta 3.03
Pt  0.0037  0.0037  0.9826  3 Ta 2.79-2.80, 3 Cd 2.85-2.92, 4 Pt 2.85-2.88
Pt  0.4963  0.4963  0.5174  3 Ta 2.79-2.80, 3 Cd 2.85-2.92, 4 Pt 2.85-2.88
Ta  0.7500  0.7500  0.7500  6 Pt 2.79-2.80, 2 Ta 2.85, 4 Cd 3.03